First-principles (meta-GGA SCAN) data for a PBEsol-optimized structure of BaNiSbI2, as listed in Alexandria via LeMat-Bulk.

Formation energy without anion corrections   -0.556 eV per atom
Size of the total moment   0.0 μB/cell
Fermi-level density of states   4.42 states/eV per cell

Unit cell a=5.377 b=5.377 c=5.071 alpha=90.00 beta=90.00 gamma=90.00
Space group P4/mmm (No. 123)
Asymmetric unit:
Ba 0.000 0.000 0.000 [1 per cell]
Ni 0.500 0.500 0.500 [1 per cell]
Sb 0.500 0.500 0.000 [1 per cell]
I 0.000 0.500 0.500 [2 per cell]